Cu2BiBr6: relaxed, PBE.

- energy relative to the elements, uncorrected (kJ/mol of atoms) = -44
- Fermi-level density of states (states/eV per cell) = 29.69
- DFT total energy (eV/atom) = -2.914
- offset from the most stable computed form (eV/f.u.) = 0.127
- total magnetization (Bohr magnetons per cell) = 4.27

Cell: 13.5887 12.1595 7.1422 Å, 90.00 100.79 90.00°
Space group C2/c (No. 15)
Symmetry-distinct sites (fractional):
Cu  0.1763  0.0715  0.3167 (multiplicity 8)
Bi  0.0000  0.3894  0.2500 (multiplicity 4)
Br  0.1227  0.4192  0.6285 (multiplicity 8)
Br  0.1268  0.2362  0.1260 (multiplicity 8)
Br  0.1371  0.0853  0.6237 (multiplicity 8)